[1]
Ho4CdTe, optimized geometry, DFT PBE; M_tot = 0.000 μB per formula unit; space group = P2_1/m (11); electronic total energy = -0.2922 Ry/atom; crystal system = monoclinic
1.0
-4.3261 -1.2236 -3.8664
-1.8587 -3.7152 6.8484
-4.1687 6.7473 2.5289
Cd Ho Te
2 8 2
Direct
0.1863 0.5970 0.7500 Cd
0.8137 0.4030 0.2500 Cd
0.0023 0.2553 0.9476 Ho
0.9977 0.7447 0.0524 Ho
0.4318 0.0132 0.7500 Ho
0.9977 0.7447 0.4476 Ho
0.6144 0.4735 0.7500 Ho
0.3856 0.5265 0.2500 Ho
0.5682 0.9868 0.2500 Ho
0.0023 0.2553 0.5524 Ho
0.8843 0.9149 0.7500 Te
0.1157 0.0851 0.2500 Te

=====

[2]
Tb2PrEr5Th, optimized geometry, DFT PBE; M_tot = 0.000 μB per formula unit; space group = I4/mcm (140); energy of formation = 306 meV/atom; crystal system = tetragonal
1.0
-4.7574 0.7745 7.2794
-6.8943 -3.3927 -4.1448
7.9522 -5.6087 0.5584
Er Th Tb Pr
10 2 4 2
Direct
0.0000 0.0000 0.0000 Er
0.3448 0.8448 0.2719 Er
0.5729 0.6552 0.7281 Er
0.5000 0.5000 0.0000 Er
0.0729 0.5729 0.7281 Er
0.1552 0.0729 0.7281 Er
0.6552 0.1552 0.7281 Er
0.9271 0.4271 0.2719 Er
0.4271 0.3448 0.2719 Er
0.8448 0.9271 0.2719 Er
0.7500 0.7500 0.5000 Th
0.2500 0.2500 0.5000 Th
0.8849 0.6151 0.0000 Tb
0.1151 0.3849 0.0000 Tb
0.6151 0.1151 0.0000 Tb
0.3849 0.8849 0.0000 Tb
0.7500 0.2500 0.5000 Pr
0.2500 0.7500 0.5000 Pr

=====

[3]
ThZnAu, optimized geometry, DFT PBE; M_tot = 0.000 μB per formula unit; space group = I4mm (107); energy of formation = -377 meV/atom; crystal system = tetragonal
1.0
-2.0078 1.7969 2.2090
2.0884 -0.9082 2.6370
2.9858 4.0009 -3.2885
Au Zn Th
1 1 1
Direct
0.2611 0.2611 0.5222 Au
0.6393 0.6393 0.2787 Zn
0.9496 0.9496 0.8992 Th